No. 1
An optimized crystal structure of BaScIr2. Source: Alexandria via LeMat-Bulk, functional PBE.

Computed properties:
**ΔE_f**: -0.922 eV per formula unit
**Energy**: -6.725 eV/atom
**Density of states at the Fermi level**: 5.003 states/eV/f.u.
**Energy above the lowest structure with this stoichiometry**: 65 meV/atom

Cell lengths 4.5958, 4.5958, 6.3870 Å; angles 68.94, 68.94, 59.96 degrees
Element x y z (fractional)
Ba 0.2500 0.2500 0.2500
Ir 0.0621 0.0621 0.8136
Ir 0.4379 0.4379 0.6864
Sc 0.7500 0.7500 0.7500

No. 2
An optimized crystal structure of AgC3. Source: Alexandria via LeMat-Bulk, functional PBE.

Computed properties:
**ΔE_f**: 14.077 eV per formula unit
**Energy**: -4.111 eV/atom
**Density of states at the Fermi level**: 1.598 states/eV/f.u.
**Energy above the lowest structure with this stoichiometry**: 2561 meV/atom

Cell lengths 4.3426, 4.3426, 4.3426 Å; angles 90.00, 90.00, 90.00 degrees
Element x y z (fractional)
Ag 0.0000 0.0000 0.0000
Ag 0.5000 0.5000 0.5000
C 0.7500 0.5000 0.0000
C 0.2500 0.5000 0.0000
C 0.0000 0.7500 0.5000
C 0.0000 0.2500 0.5000
C 0.5000 0.0000 0.2500
C 0.5000 0.0000 0.7500

No. 3
An optimized crystal structure of Ba6HPb3. Source: Alexandria via LeMat-Bulk, functional PBE.

Computed properties:
**Energy**: -3.002 eV/atom
**Density of states at the Fermi level**: 6.566 states/eV/f.u.

Cell lengths 7.7285, 9.6258, 11.7997 Å; angles 90.00, 86.63, 90.00 degrees
Element x y z (fractional)
Ba 0.6710 0.1686 0.9435
Ba 0.6381 0.1872 0.5696
Ba 0.6294 0.4495 0.2676
Ba 0.3706 0.5505 0.7324
Ba 0.3619 0.8128 0.4304
Ba 0.3290 0.8314 0.0565
Ba 0.1710 0.3314 0.4435
Ba 0.1381 0.3128 0.0696
Ba 0.1294 0.0505 0.7676
Ba 0.8706 0.9495 0.2324
Ba 0.8619 0.6872 0.9304
Ba 0.8290 0.6686 0.5565
H 0.5000 0.5000 0.5000
H 0.0000 0.0000 0.0000
Pb 0.5567 0.8935 0.7522
Pb 0.5000 0.5000 0.0000
Pb 0.4433 0.1065 0.2478
Pb 0.0567 0.6065 0.2522
Pb 0.0000 0.0000 0.5000
Pb 0.9433 0.3935 0.7478

No. 4
An optimized crystal structure of NaCaPt2C. Source: Alexandria via LeMat-Bulk, functional PBE.

Computed properties:
**ΔE_f**: 6.940 eV per formula unit
**Energy**: -3.537 eV/atom
**Density of states at the Fermi level**: 3.438 states/eV/f.u.

Cell lengths 4.8374, 4.3060, 4.8374 Å; angles 90.00, 90.00, 90.00 degrees
Element x y z (fractional)
Na 0.0000 0.0000 0.0000
Ca 0.5000 0.5000 0.5000
C 0.0000 0.5000 0.0000
Pt 0.0000 0.0000 0.5000
Pt 0.5000 0.0000 0.0000

No. 5
An optimized crystal structure of TmZrCuAg. Source: Alexandria via LeMat-Bulk, functional PBE.

Computed properties:
**ΔE_f**: -0.376 eV per formula unit
**Energy**: -5.086 eV/atom
**Density of states at the Fermi level**: 4.627 states/eV/f.u.

Cell lengths 4.8688, 4.8688, 4.8688 Å; angles 60.00, 60.00, 60.00 degrees
Element x y z (fractional)
Tm 0.0000 0.0000 0.0000
Zr 0.5000 0.5000 0.5000
Ag 0.7500 0.7500 0.7500
Cu 0.2500 0.2500 0.2500

No. 6
An optimized crystal structure of Ni3PdN. Source: Alexandria via LeMat-Bulk, functional PBE.

Computed properties:
**Energy**: -6.129 eV/atom
**Density of states at the Fermi level**: 5.945 states/eV/f.u.
**Uncorrected formation energy**: 43 meV per atom

Cell lengths 5.3898, 6.1151, 3.7223 Å; angles 89.99, 90.00, 63.85 degrees
Element x y z (fractional)
Ni 0.2569 0.0819 0.8606
Ni 0.0162 0.5819 0.8606
Ni 0.4976 0.5819 0.8606
Ni 0.7569 0.0820 0.8606
Ni 0.3857 0.3245 0.3604
Ni 0.1281 0.8393 0.3604
Pd 0.6334 0.8290 0.3604
Pd 0.8803 0.3351 0.3604
N 0.1270 0.8417 0.8603
N 0.3867 0.3224 0.8603

No. 7
An optimized crystal structure of AgTe2S5. Source: Alexandria via LeMat-Bulk, functional PBE.

Computed properties:
**Energy**: -3.413 eV/atom
**Density of states at the Fermi level**: 3.838 states/eV/f.u.
**Uncorrected formation energy**: 309 meV per atom

Cell lengths 6.6061, 9.2660, 7.2801 Å; angles 70.79, 63.02, 43.51 degrees
Element x y z (fractional)
Ag 0.5000 0.5000 0.5000
Te 0.8034 0.5000 0.8932
Te 0.1966 0.5000 0.1068
S 0.2653 0.7229 0.8426
S 0.6079 0.7229 0.1574
S 0.0000 0.5000 0.5000
S 0.7347 0.2771 0.1574
S 0.3921 0.2771 0.8426

Repeat the seventh record exactly.
An optimized crystal structure of AgTe2S5. Source: Alexandria via LeMat-Bulk, functional PBE.

Computed properties:
**Energy**: -3.413 eV/atom
**Density of states at the Fermi level**: 3.838 states/eV/f.u.
**Uncorrected formation energy**: 309 meV per atom

Cell lengths 6.6061, 9.2660, 7.2801 Å; angles 70.79, 63.02, 43.51 degrees
Element x y z (fractional)
Ag 0.5000 0.5000 0.5000
Te 0.8034 0.5000 0.8932
Te 0.1966 0.5000 0.1068
S 0.2653 0.7229 0.8426
S 0.6079 0.7229 0.1574
S 0.0000 0.5000 0.5000
S 0.7347 0.2771 0.1574
S 0.3921 0.2771 0.8426

> Which formula does entry 2 have?

AgC3